Entry 1:
Density functional theory data (PBE) for an optimized crystal structure of CaDyTm2.

Output
- space group = P4/mmm
- N(E_F) (states/eV/f.u.) = 5.68
- formation energy from the elements (eV per atom) = 0.084

Structure (extended XYZ):
```
4
Lattice="-3.088 -0.429 1.766 -0.116 -3.428 -1.037 5.212 -2.731 8.447" Properties=species:S:1:pos:R:3 pbc="T T T"
Tm 1.194 -0.626 1.935
Tm 4.018 -2.105 6.512
Ca 1.004 -3.294 4.588
Dy -1.602 -1.929 0.365
```

---

Entry 2:
Density functional theory data (PBE) for an optimized crystal structure of La2BPH.

Output
- space group = P4/mmm
- N(E_F) (states/eV/f.u.) = 4.19
- total energy (eV/atom) = -5.202

Structure (extended XYZ):
```
5
Lattice="-4.908 1.804 -0.476 -0.986 -3.093 -1.554 -1.188 -1.989 4.712" Properties=species:S:1:pos:R:3 pbc="T T T"
H -0.493 -1.546 -0.777
La -2.454 0.902 -0.238
La -0.594 -0.994 2.356
P -3.541 -1.638 1.341
B 0.000 0.000 0.000
```